[1]
Computed, not measured: a crystal of CoSe relaxed with PBEsol at the SCAN level of DFT.

- volume (Å³/atom) = 15.52
- calculated total energy (eV per atom) = -18.7269
- N(E_F) (states/eV per cell) = 3.3

Lattice parameters (Å, degrees): 3.241 5.791 5.905 117.86 105.93 90.00
Fractional coordinates of all 6 atoms:
Se1 0.065 0.381 0.130
Co1 0.732 0.447 0.464
Se2 0.714 0.042 0.428
Co2 0.889 0.966 0.778
Co3 0.368 0.288 0.735
Se3 0.399 0.711 0.799

=====

[2]
Computed, not measured: a crystal of Co3Se2 relaxed with PBEsol at the SCAN level of DFT.

- volume (Å³/atom) = 13.24
- calculated total energy (eV per atom) = -18.0405
- N(E_F) (states/eV per cell) = 2.3

Lattice parameters (Å, degrees): 3.741 3.741 5.872 71.43 71.43 60.00
Fractional coordinates of all 5 atoms:
Se1 0.410 0.410 0.770
Co1 0.216 0.216 0.353
Co2 0.000 0.000 0.000
Co3 0.784 0.784 0.647
Se2 0.590 0.590 0.230

=====

[3]
Computed, not measured: a crystal of Co3Se relaxed with PBEsol at the SCAN level of DFT.

- volume (Å³/atom) = 11.29
- calculated total energy (eV per atom) = -17.6694
- N(E_F) (states/eV per cell) = 1.7

Lattice parameters (Å, degrees): 3.586 3.586 4.331 114.45 114.45 90.00
Fractional coordinates of all 4 atoms:
Co1 0.500 0.500 0.000
Se1 0.000 0.000 0.000
Co2 0.250 0.750 0.500
Co3 0.750 0.250 0.500

=====

[4]
Computed, not measured: a crystal of CoSe relaxed with PBEsol at the SCAN level of DFT.

- volume (Å³/atom) = 17.06
- calculated total energy (eV per atom) = -18.8524
- N(E_F) (states/eV per cell) = 3.3

Lattice parameters (Å, degrees): 3.560 3.560 5.383 90.00 90.00 90.00
Fractional coordinates of all 4 atoms:
Se1 0.000 0.500 0.767
Co1 0.500 0.500 0.500
Co2 0.000 0.000 0.500
Se2 0.500 0.000 0.233

=====

[5]
Computed, not measured: a crystal of CoSe relaxed with PBEsol at the SCAN level of DFT.

- volume (Å³/atom) = 17.44
- calculated total energy (eV per atom) = -18.7781
- N(E_F) (states/eV per cell) = 3.8

Lattice parameters (Å, degrees): 3.667 3.667 5.992 90.00 90.00 120.00
Fractional coordinates of all 4 atoms:
Co1 0.667 0.333 0.876
Se1 0.667 0.333 0.257
Co2 0.333 0.667 0.124
Se2 0.333 0.667 0.743

=====

[6]
Computed, not measured: a crystal of Co4Se relaxed with PBEsol at the SCAN level of DFT.

- volume (Å³/atom) = 12.31
- calculated total energy (eV per atom) = -17.4152
- N(E_F) (states/eV per cell) = 3.7

Lattice parameters (Å, degrees): 3.192 3.192 6.448 104.33 104.33 90.00
Fractional coordinates of all 5 atoms:
Se1 0.000 0.000 0.000
Co1 0.750 0.250 0.500
Co2 0.250 0.750 0.500
Co3 0.602 0.602 0.205
Co4 0.398 0.398 0.795

=====

[7]
Computed, not measured: a crystal of Co3Se4 relaxed with PBEsol at the SCAN level of DFT.

- volume (Å³/atom) = 15.28
- distance to the lowest polymorph of the same formula (meV per atom) = 0
- calculated total energy (eV per atom) = -19.1940
- N(E_F) (states/eV per cell) = 2.4

Lattice parameters (Å, degrees): 3.522 6.047 6.021 117.91 107.00 90.00
Fractional coordinates of all 7 atoms:
Co1 0.763 0.782 0.526
Se1 0.134 0.477 0.268
Se2 0.380 0.045 0.760
Co2 0.237 0.218 0.474
Se3 0.620 0.955 0.240
Co3 0.500 0.500 0.000
Se4 0.866 0.523 0.732

=====

[8]
Computed, not measured: a crystal of CoSe relaxed with PBEsol at the SCAN level of DFT.

- volume (Å³/atom) = 16.56
- calculated total energy (eV per atom) = -18.5727
- N(E_F) (states/eV per cell) = 3.2

Lattice parameters (Å, degrees): 3.531 3.531 6.464 74.15 74.15 60.00
Fractional coordinates of all 4 atoms:
Se1 0.589 0.589 0.234
Se2 0.411 0.411 0.766
Co1 0.126 0.126 0.623
Co2 0.874 0.874 0.377

=====

[9]
Computed, not measured: a crystal of CoSe3 relaxed with PBEsol at the SCAN level of DFT.

- volume (Å³/atom) = 16.34
- distance to the lowest polymorph of the same formula (meV per atom) = 712
- calculated total energy (eV per atom) = -18.6639
- N(E_F) (states/eV per cell) = 2.8

Lattice parameters (Å, degrees): 3.090 4.599 4.599 90.00 90.00 90.00
Fractional coordinates of all 4 atoms:
Se1 0.500 0.500 0.000
Co1 0.000 0.000 0.000
Se2 0.000 0.500 0.500
Se3 0.500 0.000 0.500

=====

[10]
Computed, not measured: a crystal of CoSe3 relaxed with PBEsol at the SCAN level of DFT.

- volume (Å³/atom) = 17.42
- distance to the lowest polymorph of the same formula (meV per atom) = 110
- calculated total energy (eV per atom) = -19.2668
- N(E_F) (states/eV per cell) = 3.4

Lattice parameters (Å, degrees): 3.408 3.408 7.202 76.31 76.31 60.00
Fractional coordinates of all 4 atoms:
Se1 0.500 0.500 0.500
Se2 0.271 0.271 0.187
Co1 0.000 0.000 0.000
Se3 0.729 0.729 0.813

=====

[11]
Computed, not measured: a crystal of Co3Se4 relaxed with PBEsol at the SCAN level of DFT.

- volume (Å³/atom) = 16.20
- distance to the lowest polymorph of the same formula (meV per atom) = 23
- calculated total energy (eV per atom) = -19.1710
- N(E_F) (states/eV per cell) = 9.5

Lattice parameters (Å, degrees): 6.845 6.845 6.845 60.00 60.00 60.00
Fractional coordinates of all 14 atoms:
Se1 0.368 0.368 0.897
Co1 0.125 0.625 0.125
Se2 0.353 0.882 0.882
Co2 0.500 0.500 0.500
Se3 0.882 0.353 0.882
Co3 0.125 0.125 0.125
Co4 0.750 0.750 0.750
Co5 0.625 0.125 0.125
Se4 0.897 0.368 0.368
Co6 0.125 0.125 0.625
Se5 0.882 0.882 0.882
Se6 0.368 0.368 0.368
Se7 0.882 0.882 0.353
Se8 0.368 0.897 0.368

=====

[12]
Computed, not measured: a crystal of Co17Se20 relaxed with PBEsol at the SCAN level of DFT.

- volume (Å³/atom) = 14.75
- calculated total energy (eV per atom) = -19.0546
- N(E_F) (states/eV per cell) = 30.5

Lattice parameters (Å, degrees): 10.180 10.620 12.217 72.76 89.25 61.17
Fractional coordinates of all 74 atoms:
Co1 0.747 0.541 0.006
Co2 0.592 0.289 0.801
Co3 0.807 0.888 0.403
Se1 0.727 0.301 0.469
Co4 0.297 0.903 0.404
Co5 0.959 0.098 0.105
Co6 0.193 0.112 0.597
Se2 0.669 0.892 0.736
Co7 0.303 0.912 0.899
Se3 0.954 0.311 0.133
Co8 0.828 0.303 0.295
Se4 0.067 0.107 0.430
Co9 0.668 0.702 0.160
Se5 0.522 0.703 0.370
Se6 0.479 0.295 0.130
Se7 0.685 0.885 0.234
Se8 0.624 0.497 0.664
Se9 0.847 0.510 0.830
Co10 0.172 0.697 0.705
Se10 0.827 0.093 0.267
Co11 0.908 0.692 0.709
Se11 0.229 0.301 0.461
Se12 0.521 0.705 0.870
Se13 0.429 0.907 0.063
Se14 0.771 0.699 0.539
Se15 0.719 0.291 0.966
Se16 0.376 0.503 0.336
Se17 0.861 0.502 0.323
Se18 0.315 0.115 0.766
Co12 0.626 0.706 0.696
Se19 0.973 0.308 0.629
Se20 0.583 0.094 0.435
Se21 0.181 0.908 0.232
Se22 0.139 0.498 0.677
Co13 0.055 0.889 0.390
Se23 0.273 0.699 0.531
Co14 0.408 0.711 0.199
Co15 0.155 0.708 0.211
Se24 0.281 0.709 0.034
Co16 0.450 0.096 0.596
Co17 0.332 0.298 0.840
Se25 0.153 0.490 0.170
Co18 0.550 0.904 0.404
Se26 0.571 0.093 0.937
Co19 0.241 0.500 0.500
Co20 0.041 0.902 0.895
Se27 0.382 0.493 0.838
Co21 0.759 0.500 0.500
Se28 0.173 0.907 0.733
Se29 0.937 0.899 0.071
Se30 0.331 0.108 0.264
Co22 0.595 0.862 0.926
Co23 0.919 0.684 0.208
Co24 0.500 0.500 0.000
Co25 0.092 0.308 0.291
Se31 0.417 0.906 0.565
Se32 0.826 0.695 0.026
Se33 0.933 0.893 0.570
Se34 0.819 0.092 0.768
Co26 0.374 0.294 0.304
Co27 0.500 0.500 0.500
Se35 0.618 0.507 0.162
Se36 0.046 0.689 0.867
Se37 0.027 0.692 0.371
Co28 0.405 0.138 0.074
Se38 0.478 0.297 0.630
Co29 0.253 0.459 0.994
Co30 0.845 0.292 0.789
Co31 0.081 0.316 0.792
Se39 0.174 0.305 0.974
Co32 0.697 0.088 0.101
Se40 0.063 0.101 0.929
Co33 0.703 0.097 0.596
Co34 0.945 0.111 0.610